Entry 1:
VASP calculation (PBE) on a relaxed UH2F4 crystal.

Calculated volume in Å³/f.u.: 115
Final energy in eV per atom: -6.172

Geometry as CIF:
```
data_UH2F4
_chemical_formula_sum 'U1 H2 F4'
_symmetry_space_group_name_H-M 'P 1 2/m 1'
_symmetry_Int_Tables_number 10
_symmetry_space_group_name_Hall '-P 2y'
_cell_length_a 3.894
_cell_length_b 3.882
_cell_length_c 7.604
_cell_angle_alpha 90.00
_cell_angle_beta 93.18
_cell_angle_gamma 90.00
loop_
_atom_site_label
_atom_site_type_symbol
_atom_site_fract_x
_atom_site_fract_y
_atom_site_fract_z
_atom_site_occupancy
U1 U 0.000 0.000 0.000 1
H1 H 0.474 0.500 0.452 1
F1 F 0.017 0.500 0.162 1
F2 F 0.483 0.000 0.839 1
```

---

Entry 2:
VASP calculation (PBE) on a relaxed TaHgRu2 crystal.

Energy of formation from the pure elements in eV/atom: 0.0849
Calculated volume in Å³/f.u.: 65

Geometry as CIF:
```
data_TaHgRu2
_chemical_formula_sum 'Ta1 Hg1 Ru2'
_symmetry_space_group_name_H-M 'P 4/m m m'
_symmetry_Int_Tables_number 123
_symmetry_space_group_name_Hall '-P 4 2'
_cell_length_a 4.230
_cell_length_b 4.230
_cell_length_c 3.615
_cell_angle_alpha 90.00
_cell_angle_beta 90.00
_cell_angle_gamma 90.00
loop_
_atom_site_label
_atom_site_type_symbol
_atom_site_fract_x
_atom_site_fract_y
_atom_site_fract_z
_atom_site_occupancy
Ta1 Ta 0.000 0.000 0.000 1
Hg1 Hg 0.500 0.500 0.000 1
Ru1 Ru 0.000 0.500 0.500 1
```

---

Entry 3:
VASP calculation (PBE) on a relaxed InHg2I2 crystal.

Polymorph energy (0 for the lowest one) in meV/atom: 141
Calculated volume in Å³/f.u.: 175
ΔE_f (raw) in eV per formula unit: -0.53

Geometry as CIF:
```
data_InHg2I2
_chemical_formula_sum 'In2 Hg4 I4'
_symmetry_space_group_name_H-M 'P 4/m b m'
_symmetry_Int_Tables_number 127
_symmetry_space_group_name_Hall '-P 4 2ab'
_cell_length_a 8.494
_cell_length_b 8.494
_cell_length_c 4.849
_cell_angle_alpha 90.00
_cell_angle_beta 90.00
_cell_angle_gamma 90.00
loop_
_atom_site_label
_atom_site_type_symbol
_atom_site_fract_x
_atom_site_fract_y
_atom_site_fract_z
_atom_site_occupancy
In1 In 0.000 0.000 0.000 1
Hg1 Hg 0.118 0.382 0.000 1
I1 I 0.207 0.707 0.500 1
```

---

Entry 4:
VASP calculation (PBE) on a relaxed La6Ir4Pd crystal.

Energy of formation from the pure elements in eV/atom: -0.6702
Calculated volume in Å³/f.u.: 286

Geometry as CIF:
```
data_La6Ir4Pd
_chemical_formula_sum 'La12 Ir8 Pd2'
_symmetry_space_group_name_H-M 'C 1 m 1'
_symmetry_Int_Tables_number 8
_symmetry_space_group_name_Hall 'C -2y'
_cell_length_a 8.324
_cell_length_b 8.295
_cell_length_c 9.268
_cell_angle_alpha 90.00
_cell_angle_beta 116.53
_cell_angle_gamma 90.00
loop_
_atom_site_label
_atom_site_type_symbol
_atom_site_fract_x
_atom_site_fract_y
_atom_site_fract_z
_atom_site_occupancy
La1 La 0.000 0.000 0.000 1
La2 La 0.028 0.500 0.999 1
La3 La 0.123 0.236 0.716 1
La4 La 0.194 0.250 0.358 1
Ir1 Ir 0.305 0.233 0.081 1
Ir2 Ir 0.316 0.500 0.634 1
Ir3 Ir 0.348 0.000 0.634 1
Pd1 Pd 0.445 0.000 0.358 1
```

---

Entry 5:
VASP calculation (PBE) on a relaxed K2RbLiSb crystal.

Polymorph energy (0 for the lowest one) in meV/atom: 0
Calculated volume in Å³/f.u.: 261
ΔE_f (raw) in eV per formula unit: -1.13

Geometry as CIF:
```
data_K2RbLiSb
_chemical_formula_sum 'K2 Rb1 Li1 Sb1'
_symmetry_space_group_name_H-M 'P 4/m m m'
_symmetry_Int_Tables_number 123
_symmetry_space_group_name_Hall '-P 4 2'
_cell_length_a 6.968
_cell_length_b 6.968
_cell_length_c 5.371
_cell_angle_alpha 90.00
_cell_angle_beta 90.00
_cell_angle_gamma 90.00
loop_
_atom_site_label
_atom_site_type_symbol
_atom_site_fract_x
_atom_site_fract_y
_atom_site_fract_z
_atom_site_occupancy
K1 K 0.000 0.500 0.000 1
Rb1 Rb 0.000 0.000 0.500 1
Li1 Li 0.500 0.500 0.500 1
Sb1 Sb 0.500 0.500 0.000 1
```

---

Entry 6:
VASP calculation (PBE) on a relaxed Ac2InPd5 crystal.

Energy of formation from the pure elements in eV/atom: -0.7015
Calculated volume in Å³/f.u.: 185

Geometry as CIF:
```
data_Ac2InPd5
_chemical_formula_sum 'Ac4 In2 Pd10'
_symmetry_space_group_name_H-M 'I 4 m m'
_symmetry_Int_Tables_number 107
_symmetry_space_group_name_Hall 'I 4 -2'
_cell_length_a 6.548
_cell_length_b 6.548
_cell_length_c 8.631
_cell_angle_alpha 90.00
_cell_angle_beta 90.00
_cell_angle_gamma 90.00
loop_
_atom_site_label
_atom_site_type_symbol
_atom_site_fract_x
_atom_site_fract_y
_atom_site_fract_z
_atom_site_occupancy
Ac1 Ac 0.000 0.500 0.000 1
In1 In 0.000 0.000 0.216 1
Pd1 Pd 0.000 0.000 0.528 1
Pd2 Pd 0.213 0.213 0.757 1
```